1.
Entry from Alexandria: a relaxed CaNdAu4 crystal (PBE-GGA).

Results
The value obtained for the formation energy is -732 meV/atom. Its calculated density is 11.6 Mg/m³. Its total energy is -4.045 eV/atom. Its space-group type is C2. The energy above the most stable polymorph in this dataset is 0.0 meV per atom.

abc: 8.536 8.208 4.781
angles: 90.00 123.97 90.00
Element x y z (fractional)
Ca  0.000  0.000  0.000
Ca  0.500  0.500  0.000
Nd  0.000  0.573  0.500
Nd  0.500  0.073  0.500
Au  0.211  0.372  0.210
Au  0.219  0.202  0.718
Au  0.281  0.702  0.282
Au  0.289  0.872  0.790
Au  0.711  0.872  0.210
Au  0.719  0.702  0.718
Au  0.781  0.202  0.282
Au  0.789  0.372  0.790

2.
Entry from Alexandria: a relaxed Hf2ScMo crystal (PBE-GGA).

Results
The value obtained for the formation energy is 16 meV/atom. Its calculated density is 9.8 Mg/m³. Its total energy is -9.252 eV/atom. Its space-group type is P4/mmm. The energy above the most stable polymorph in this dataset is 0.0 meV per atom.

abc: 3.386 3.386 7.327
angles: 90.00 90.00 90.00
Element x y z (fractional)
Hf  0.000  0.000  0.209
Hf  0.000  0.000  0.791
Sc  0.500  0.500  0.500
Mo  0.500  0.500  0.000

3.
Entry from Alexandria: a relaxed SrSi2P crystal (PBE-GGA).

Results
Its formation energy (no corrections) is -0.3 eV/f.u. Its calculated density is 3.5 Mg/m³. Its total energy is -4.561 eV/atom. Its space-group type is P4mm.

abc: 3.629 3.629 6.214
angles: 90.00 90.00 90.00
Element x y z (fractional)
Sr  0.000  0.000  0.000
Si  0.000  0.000  0.497
Si  0.500  0.500  0.672
P  0.500  0.500  0.315

4.
Entry from Alexandria: a relaxed Pr4ZnGe3 crystal (PBE-GGA).

Results
The value obtained for the formation energy is -698 meV/atom. Its calculated density is 6.7 Mg/m³. Its total energy is -4.979 eV/atom. Its space-group type is Pmm2.

abc: 4.160 4.450 11.348
angles: 90.00 90.00 90.00
Element x y z (fractional)
Pr  0.000  0.000  0.000
Pr  0.000  0.500  0.497
Pr  0.500  0.000  0.717
Pr  0.500  0.500  0.220
Zn  0.000  0.500  0.791
Ge  0.000  0.000  0.279
Ge  0.500  0.000  0.435
Ge  0.500  0.500  0.935

5.
Entry from Alexandria: a relaxed HfAs2PtSe crystal (PBE-GGA).

Results
Its formation energy (no corrections) is 2.3 eV/f.u. Its calculated density is 8.7 Mg/m³. Its total energy is -5.301 eV/atom. Its space-group type is P4/mmm. The energy above the most stable polymorph in this dataset is 0.0 meV per atom.

abc: 4.818 4.818 4.968
angles: 90.00 90.00 90.00
Element x y z (fractional)
Hf  0.000  0.000  0.000
As  0.000  0.500  0.500
As  0.500  0.000  0.500
Pt  0.500  0.500  0.500
Se  0.500  0.500  0.000

6.
Entry from Alexandria: a relaxed NaSrPmCl6 crystal (PBE-GGA).

Results
Its formation energy (no corrections) is -20.1 eV/f.u. Its calculated density is 2.8 Mg/m³. Its total energy is -4.327 eV/atom. Its space-group type is P-31c.

abc: 7.103 7.103 12.677
angles: 90.00 90.00 120.00
Element x y z (fractional)
Na  0.333  0.667  0.250
Na  0.667  0.333  0.750
Sr  0.000  0.000  0.000
Sr  0.000  0.000  0.500
Pm  0.333  0.667  0.750
Pm  0.667  0.333  0.250
Cl  0.011  0.349  0.630
Cl  0.011  0.662  0.870
Cl  0.338  0.349  0.870
Cl  0.338  0.989  0.630
Cl  0.349  0.011  0.130
Cl  0.349  0.338  0.370
Cl  0.651  0.662  0.630
Cl  0.651  0.989  0.870
Cl  0.662  0.011  0.370
Cl  0.662  0.651  0.130
Cl  0.989  0.338  0.130
Cl  0.989  0.651  0.370

7.
Entry from Alexandria: a relaxed Sb5As3Au12 crystal (PBE-GGA).

Results
Its formation energy (no corrections) is 2.6 eV/f.u. Its calculated density is 10.8 Mg/m³. Its total energy is -3.564 eV/atom. Its space-group type is Ia-3d.

abc: 13.662 13.662 13.662
angles: 109.47 109.47 109.47
Element x y z (fractional)
Sb  0.000  0.000  0.000
Sb  0.000  0.000  0.500
Sb  0.000  0.500  0.000
Sb  0.000  0.500  0.500
Sb  0.125  0.750  0.875
Sb  0.125  0.875  0.250
Sb  0.250  0.125  0.875
Sb  0.250  0.625  0.375
Sb  0.375  0.250  0.625
Sb  0.375  0.625  0.750
Sb  0.500  0.000  0.000
Sb  0.500  0.000  0.500
Sb  0.500  0.500  0.000
Sb  0.500  0.500  0.500
Sb  0.625  0.375  0.250
Sb  0.625  0.750  0.375
Sb  0.750  0.375  0.625
Sb  0.750  0.875  0.125
Sb  0.875  0.125  0.750
Sb  0.875  0.250  0.125
As  0.125  0.250  0.375
As  0.125  0.375  0.750
As  0.250  0.375  0.125
As  0.250  0.875  0.625
As  0.375  0.125  0.250
As  0.375  0.750  0.125
As  0.625  0.250  0.875
As  0.625  0.875  0.750
As  0.750  0.125  0.375
As  0.750  0.625  0.875
As  0.875  0.625  0.250
As  0.875  0.750  0.625
Au  0.065  0.633  0.395
Au  0.065  0.932  0.670
Au  0.068  0.239  0.133
Au  0.068  0.330  0.935
Au  0.105  0.739  0.670
Au  0.105  0.867  0.435
Au  0.133  0.068  0.239
Au  0.133  0.565  0.895
Au  0.170  0.239  0.605
Au  0.170  0.432  0.565
Au  0.239  0.133  0.068
Au  0.239  0.605  0.170
Au  0.261  0.330  0.895
Au  0.261  0.432  0.367
Au  0.330  0.895  0.261
Au  0.330  0.935  0.068
Au  0.367  0.261  0.432
Au  0.367  0.605  0.935
Au  0.395  0.065  0.633
Au  0.395  0.830  0.761
Au  0.432  0.367  0.261
Au  0.432  0.565  0.170
Au  0.435  0.105  0.867
Au  0.435  0.830  0.568
Au  0.565  0.170  0.432
Au  0.565  0.895  0.133
Au  0.568  0.435  0.830
Au  0.568  0.633  0.739
Au  0.605  0.170  0.239
Au  0.605  0.935  0.367
Au  0.633  0.395  0.065
Au  0.633  0.739  0.568
Au  0.670  0.065  0.932
Au  0.670  0.105  0.739
Au  0.739  0.568  0.633
Au  0.739  0.670  0.105
Au  0.761  0.395  0.830
Au  0.761  0.867  0.932
Au  0.830  0.568  0.435
Au  0.830  0.761  0.395
Au  0.867  0.435  0.105
Au  0.867  0.932  0.761
Au  0.895  0.133  0.565
Au  0.895  0.261  0.330
Au  0.932  0.670  0.065
Au  0.932  0.761  0.867
Au  0.935  0.068  0.330
Au  0.935  0.367  0.605

8.
Entry from Alexandria: a relaxed CuTeAsBr2 crystal (PBE-GGA).

Results
Its formation energy (no corrections) is 1.6 eV/f.u. Its calculated density is 5.8 Mg/m³. Its total energy is -2.722 eV/atom. Its space-group type is P4/mmm. The energy above the most stable polymorph in this dataset is 0.0 meV per atom.

abc: 4.838 4.838 5.176
angles: 90.00 90.00 90.00
Element x y z (fractional)
Cu  0.000  0.000  0.000
Te  0.500  0.500  0.500
As  0.000  0.000  0.500
Br  0.000  0.500  0.000
Br  0.500  0.000  0.000

9.
Entry from Alexandria: a relaxed Te2Se crystal (PBE-GGA).

Results
Its formation energy (no corrections) is 0.3 eV/f.u. Its calculated density is 5.4 Mg/m³. Its total energy is -3.152 eV/atom. Its space-group type is C2/m. The energy above the most stable polymorph in this dataset is 62.8 meV per atom.

abc: 11.738 3.951 9.653
angles: 90.00 113.55 90.00
Element x y z (fractional)
Te  0.147  0.000  0.455
Te  0.188  0.000  0.877
Te  0.312  0.500  0.123
Te  0.353  0.500  0.545
Te  0.647  0.500  0.455
Te  0.688  0.500  0.877
Te  0.812  0.000  0.123
Te  0.853  0.000  0.545
Se  0.004  0.500  0.234
Se  0.496  0.000  0.766
Se  0.504  0.000  0.234
Se  0.996  0.500  0.766

10.
Entry from Alexandria: a relaxed Sr3ZrPa3N8 crystal (PBE-GGA).

Results
Its formation energy (no corrections) is -20.5 eV/f.u. Its calculated density is 7.4 Mg/m³. Its total energy is -8.614 eV/atom. Its space-group type is R-3m.

abc: 7.278 7.278 7.278
angles: 57.96 57.96 57.96
Element x y z (fractional)
Sr  0.000  0.500  0.500
Sr  0.500  0.000  0.500
Sr  0.500  0.500  0.000
Zr  0.500  0.500  0.500
Pa  0.000  0.000  0.500
Pa  0.000  0.500  0.000
Pa  0.500  0.000  0.000
N  0.230  0.725  0.725
N  0.236  0.236  0.236
N  0.275  0.275  0.770
N  0.275  0.770  0.275
N  0.725  0.230  0.725
N  0.725  0.725  0.230
N  0.764  0.764  0.764
N  0.770  0.275  0.275

11.
Entry from Alexandria: a relaxed DyErSeN crystal (PBE-GGA).

Results
Its formation energy (no corrections) is -6.9 eV/f.u. Its calculated density is 9.4 Mg/m³. Its total energy is -6.958 eV/atom. Its space-group type is R3m.

abc: 3.648 3.648 19.432
angles: 90.00 90.00 120.00
Element x y z (fractional)
Dy  0.000  0.000  0.000
Dy  0.333  0.667  0.667
Dy  0.667  0.333  0.333
Er  0.000  0.000  0.535
Er  0.333  0.667  0.201
Er  0.667  0.333  0.868
Se  0.000  0.000  0.768
Se  0.333  0.667  0.435
Se  0.667  0.333  0.101
N  0.000  0.000  0.265
N  0.333  0.667  0.932
N  0.667  0.333  0.599

12.
Entry from Alexandria: a relaxed La6Tb2Tl crystal (PBE-GGA).

Results
The value obtained for the formation energy is -5 meV/atom. Its calculated density is 7.4 Mg/m³. Its total energy is -4.581 eV/atom. Its space-group type is C2/c.

abc: 6.267 6.267 15.695
angles: 92.58 92.58 99.01
Element x y z (fractional)
La  0.110  0.784  0.968
La  0.211  0.432  0.662
La  0.216  0.890  0.532
La  0.272  0.394  0.415
La  0.394  0.272  0.915
La  0.432  0.211  0.162
La  0.568  0.789  0.838
La  0.606  0.728  0.085
La  0.728  0.606  0.585
La  0.784  0.110  0.468
La  0.789  0.568  0.338
La  0.890  0.216  0.032
Tb  0.095  0.618  0.177
Tb  0.382  0.905  0.323
Tb  0.618  0.095  0.677
Tb  0.905  0.382  0.823
Tl  0.080  0.920  0.750
Tl  0.920  0.080  0.250

13.
Entry from Alexandria: a relaxed PuPaFeRh crystal (PBE-GGA).

Results
The value obtained for the formation energy is -325 meV/atom. Its calculated density is 15.1 Mg/m³. Its total energy is -10.236 eV/atom. Its space-group type is F-43m.

abc: 6.528 6.528 6.528
angles: 90.00 90.00 90.00
Element x y z (fractional)
Pu  0.000  0.000  0.000
Pu  0.000  0.500  0.500
Pu  0.500  0.000  0.500
Pu  0.500  0.500  0.000
Pa  0.250  0.250  0.250
Pa  0.250  0.750  0.750
Pa  0.750  0.250  0.750
Pa  0.750  0.750  0.250
Fe  0.000  0.000  0.500
Fe  0.000  0.500  0.000
Fe  0.500  0.000  0.000
Fe  0.500  0.500  0.500
Rh  0.250  0.250  0.750
Rh  0.250  0.750  0.250
Rh  0.750  0.250  0.250
Rh  0.750  0.750  0.750

14.
Entry from Alexandria: a relaxed MgGaPb crystal (PBE-GGA).

Results
The value obtained for the formation energy is 18 meV/atom. Its calculated density is 6.8 Mg/m³. Its total energy is -2.758 eV/atom. Its space-group type is P-6m2. The energy above the most stable polymorph in this dataset is 28.6 meV per atom.

abc: 4.949 4.949 3.480
angles: 90.00 90.00 120.00
Element x y z (fractional)
Mg  0.000  0.000  0.000
Ga  0.667  0.333  0.000
Pb  0.333  0.667  0.500

15.
Entry from Alexandria: a relaxed Sn2Au2I crystal (PBE-GGA).

Results
Its formation energy (no corrections) is -0.1 eV/f.u. Its calculated density is 9.6 Mg/m³. Its total energy is -3.233 eV/atom. Its space-group type is P4/mbm. The energy above the most stable polymorph in this dataset is 63.4 meV per atom.

abc: 8.588 8.588 3.555
angles: 90.00 90.00 90.00
Element x y z (fractional)
Sn  0.188  0.312  0.000
Sn  0.312  0.812  0.000
Sn  0.688  0.188  0.000
Sn  0.812  0.688  0.000
Au  0.116  0.616  0.500
Au  0.384  0.116  0.500
Au  0.616  0.884  0.500
Au  0.884  0.384  0.500
I  0.000  0.000  0.000
I  0.500  0.500  0.000

16.
Entry from Alexandria: a relaxed NpZnIn crystal (PBE-GGA).

Results
The value obtained for the formation energy is 137 meV/atom. Its calculated density is 10.6 Mg/m³. Its total energy is -5.514 eV/atom. Its space-group type is I4mm.

abc: 3.132 3.132 13.354
angles: 90.00 90.00 90.00
Element x y z (fractional)
Np  0.000  0.000  0.000
Np  0.500  0.500  0.500
Zn  0.000  0.000  0.661
Zn  0.500  0.500  0.161
In  0.000  0.000  0.311
In  0.500  0.500  0.811

17.
Entry from Alexandria: a relaxed Lu2SiO crystal (PBE-GGA).

Results
Its formation energy (no corrections) is -6.4 eV/f.u. Its calculated density is 9.6 Mg/m³. Its total energy is -6.453 eV/atom. Its space-group type is R-3m.

abc: 3.434 3.434 20.066
angles: 90.00 90.00 120.00
Element x y z (fractional)
Lu  0.000  0.000  0.234
Lu  0.000  0.000  0.766
Lu  0.333  0.667  0.433
Lu  0.333  0.667  0.900
Lu  0.667  0.333  0.100
Lu  0.667  0.333  0.567
Si  0.000  0.000  0.000
Si  0.333  0.667  0.667
Si  0.667  0.333  0.333
O  0.000  0.000  0.500
O  0.333  0.667  0.167
O  0.667  0.333  0.833

18.
Entry from Alexandria: a relaxed Li4YIr crystal (PBE-GGA).

Results
The value obtained for the formation energy is -33 meV/atom. Its calculated density is 5.3 Mg/m³. Its total energy is -3.863 eV/atom. Its space-group type is F-43m.

abc: 5.141 5.141 5.141
angles: 60.00 60.00 60.00
Element x y z (fractional)
Li  0.379  0.379  0.379
Li  0.379  0.379  0.863
Li  0.379  0.863  0.379
Li  0.863  0.379  0.379
Y  0.000  0.000  0.000
Ir  0.750  0.750  0.750

19.
Entry from Alexandria: a relaxed ZnO2 crystal (PBE-GGA).

Results
Its formation energy (no corrections) is -1.8 eV/f.u. Its calculated density is 4.3 Mg/m³. Its total energy is -4.336 eV/atom. Its space-group type is Immm.

abc: 9.951 9.951 9.951
angles: 160.26 137.72 47.06
Element x y z (fractional)
Zn  0.146  0.405  0.741
Zn  0.211  0.211  0.000
Zn  0.336  0.595  0.741
Zn  0.664  0.405  0.259
Zn  0.789  0.789  0.000
Zn  0.854  0.595  0.259
O  0.148  0.961  0.187
O  0.158  0.658  0.500
O  0.210  0.315  0.895
O  0.226  0.039  0.187
O  0.420  0.315  0.105
O  0.463  0.463  0.000
O  0.537  0.537  0.000
O  0.580  0.685  0.895
O  0.774  0.961  0.813
O  0.790  0.685  0.105
O  0.842  0.342  0.500
O  0.852  0.039  0.813

20.
Entry from Alexandria: a relaxed CaAgRu4 crystal (PBE-GGA).

Results
The value obtained for the formation energy is 398 meV/atom. Its calculated density is 8.9 Mg/m³. Its total energy is -6.595 eV/atom. Its space-group type is F-43m.

abc: 5.259 5.259 5.259
angles: 60.00 60.00 60.00
Element x y z (fractional)
Ca  0.000  0.000  0.000
Ag  0.250  0.250  0.250
Ru  0.127  0.624  0.624
Ru  0.624  0.127  0.624
Ru  0.624  0.624  0.127
Ru  0.624  0.624  0.624